Record 1
First-principles (PBE-GGA) data for an optimized crystal structure of CeZn2Ge, as listed in Alexandria via LeMat-Bulk.

Cell lengths 4.2117, 4.2117, 4.5837 Å; angles 90.00, 90.00, 90.00 degrees
With the nearest neighbours (Å) after each atom.
Positions (direct):
Ce: 0.0000 0.0000 0.0000  4 Ge 2.98, 8 Zn 3.11
Zn: 0.0000 0.5000 0.5000  4 Zn 2.98, 4 Ge 3.11, 4 Ce 3.11
Zn: 0.5000 0.0000 0.5000  4 Zn 2.98, 4 Ge 3.11, 4 Ce 3.11
Ge: 0.5000 0.5000 0.0000  4 Ce 2.98, 8 Zn 3.11

Output
Space group: P4/mmm
Energy relative to the lowest polymorph listed for this composition (eV/atom): 0.0000
Magnetization (μB per formula unit): 0.0
Energy (eV/atom): -3.6101
Formation energy (eV/atom): -0.335

---

Record 2
First-principles (PBE-GGA) data for an optimized crystal structure of YNiHg, as listed in Alexandria via LeMat-Bulk.

Cell lengths 4.5402, 4.5402, 3.5079 Å; angles 90.00, 90.00, 120.00 degrees
With the nearest neighbours (Å) after each atom.
Positions (direct):
Y: 0.0000 0.0000 0.0000  6 Ni 3.15, 6 Hg 3.15, 2 Y 3.51
Ni: 0.3333 0.6667 0.5000  3 Hg 2.62
Hg: 0.6667 0.3333 0.5000  3 Ni 2.62

Output
Space group: P-6m2
Magnetization (μB per formula unit): 0.0
Energy (eV/atom): -4.4974
Formation energy (eV/atom): -0.315

---

Record 3
First-principles (PBE-GGA) data for an optimized crystal structure of ErSc3Tl, as listed in Alexandria via LeMat-Bulk.

Cell lengths 5.0441, 7.1436, 7.2014 Å; angles 90.00, 90.00, 90.00 degrees
With the nearest neighbours (Å) after each atom.
Positions (direct):
Er: 0.2500 0.2500 0.1937  6 Sc 3.13-3.31
Er: 0.7500 0.7500 0.8063  6 Sc 3.13-3.31
Sc: 0.2500 0.0416 0.7318  3 Tl 2.91-3.21, 2 Sc 2.98-3.17
Sc: 0.2500 0.4584 0.7318  3 Tl 2.91-3.21, 2 Sc 2.98-3.17
Sc: 0.2500 0.7500 0.0627  1 Tl 2.78
Sc: 0.7500 0.2500 0.9373  1 Tl 2.78
Sc: 0.7500 0.5416 0.2682  3 Tl 2.91-3.21, 2 Sc 2.98-3.17
Sc: 0.7500 0.9584 0.2682  3 Tl 2.91-3.21, 2 Sc 2.98-3.17
Tl: 0.2500 0.7500 0.4494  3 Sc 2.78-2.91
Tl: 0.7500 0.2500 0.5506  3 Sc 2.78-2.91

Output
Space group: Pmmn
Energy relative to the lowest polymorph listed for this composition (eV/atom): 0.0000
Magnetization (μB per formula unit): 0.0
Energy (eV/atom): -5.2439
Formation energy (eV/atom): -0.059

---

Record 4
First-principles (PBE-GGA) data for an optimized crystal structure of K2NaAsP, as listed in Alexandria via LeMat-Bulk.

Cell lengths 5.7020, 5.7020, 4.9750 Å; angles 90.00, 90.00, 90.00 degrees
With the nearest neighbours (Å) after each atom.
Positions (direct):
K: 0.0000 0.5000 0.0000  2 Na 2.85
K: 0.5000 0.0000 0.0000  2 Na 2.85
Na: 0.0000 0.0000 0.0000  2 P 2.49
As: 0.5000 0.5000 0.5000  8 K 3.78, 4 P 4.03
P: 0.0000 0.0000 0.5000  2 Na 2.49

Output
Space group: P4/mmm
Magnetization (μB per formula unit): 0.1
Energy (eV/atom): -2.3271
Formation energy (eV/atom): 0.388